(1)
The following is a PBE calculation of La2Tb5Tm3 after structural relaxation, from the Alexandria database.

**Energy relative to the lowest polymorph listed for this composition**: 188 kJ/mol of formula units
**Energy relative to the elements**: 0.41 eV/atom
**Mass density**: 7.549 g/cm³

Geometry as CIF:
```
data_La2Tb5Tm3
_cell_length_a 9.4249
_cell_length_b 21.6854
_cell_length_c 6.7984
_cell_angle_alpha 90.00
_cell_angle_beta 90.00
_cell_angle_gamma 90.00
_symmetry_space_group_name_H-M 'I b a m'
_symmetry_Int_Tables_number 72
_symmetry_space_group_name_Hall '-I 2 2c'
loop_
_atom_site_label
_atom_site_fract_x
_atom_site_fract_y
_atom_site_fract_z
La1 0.1083 0.1246 0.0000
Tb1 0.0000 0.2517 0.2500
Tb2 0.0000 0.5000 0.2500
Tb3 0.0876 0.3757 0.5000
Tm1 0.0000 0.0000 0.2500
Tm2 0.2493 0.3773 0.0000
```



(2)
The following is a PBE calculation of LaTb4Tm3 after structural relaxation, from the Alexandria database.

**Energy relative to the lowest polymorph listed for this composition**: 114 kJ/mol of formula units
**Energy relative to the elements**: 0.16 eV/atom
**Mass density**: 8.203 g/cm³

Geometry as CIF:
```
data_LaTb4Tm3
_cell_length_a 3.4443
_cell_length_b 6.6696
_cell_length_c 22.5845
_cell_angle_alpha 90.00
_cell_angle_beta 90.00
_cell_angle_gamma 90.00
_symmetry_space_group_name_H-M 'I m m m'
_symmetry_Int_Tables_number 71
_symmetry_space_group_name_Hall '-I 2 2'
loop_
_atom_site_label
_atom_site_fract_x
_atom_site_fract_y
_atom_site_fract_z
La1 0.0000 0.0000 0.0000
Tb1 0.0000 0.2583 0.1268
Tm1 0.0000 0.0000 0.2598
Tm2 0.0000 0.0000 0.5000
```



(3)
The following is a PBE calculation of La2Tb5Tm after structural relaxation, from the Alexandria database.

**Energy relative to the elements**: 0.03 eV/atom
**Mass density**: 7.811 g/cm³

Geometry as CIF:
```
data_La2Tb5Tm
_cell_length_a 7.1997
_cell_length_b 14.4042
_cell_length_c 5.0897
_cell_angle_alpha 90.00
_cell_angle_beta 90.00
_cell_angle_gamma 90.00
_symmetry_space_group_name_H-M 'P b a m'
_symmetry_Int_Tables_number 55
_symmetry_space_group_name_Hall '-P 2 2ab'
loop_
_atom_site_label
_atom_site_fract_x
_atom_site_fract_y
_atom_site_fract_z
La1 0.2477 0.1249 0.0000
Tb1 0.0000 0.5000 0.5000
Tb2 0.0032 0.7504 0.5000
Tb3 0.2470 0.3750 0.0000
Tm1 0.0000 0.0000 0.5000
```



(4)
The following is a PBE calculation of LaTb6Tm4 after structural relaxation, from the Alexandria database.

**Energy relative to the lowest polymorph listed for this composition**: 0 kJ/mol of formula units
**Energy relative to the elements**: 0.12 eV/atom
**Mass density**: 8.303 g/cm³

Geometry as CIF:
```
data_LaTb6Tm4
_cell_length_a 5.7126
_cell_length_b 9.6394
_cell_length_c 25.6861
_cell_angle_alpha 90.00
_cell_angle_beta 90.00
_cell_angle_gamma 90.00
_symmetry_space_group_name_H-M 'C m c m'
_symmetry_Int_Tables_number 63
_symmetry_space_group_name_Hall '-C 2c 2'
loop_
_atom_site_label
_atom_site_fract_x
_atom_site_fract_y
_atom_site_fract_z
La1 0.0000 0.1912 0.2500
Tb1 0.0000 0.1399 0.6795
Tb2 0.0000 0.1899 0.0990
Tb3 0.0000 0.4736 0.7500
Tb4 0.0000 0.5000 0.0000
Tm1 0.0000 0.1569 0.5421
Tm2 0.0000 0.4709 0.6222
```



(5)
The following is a PBE calculation of La6Tb5Tm after structural relaxation, from the Alexandria database.

**Energy relative to the lowest polymorph listed for this composition**: 5 kJ/mol of formula units
**Energy relative to the elements**: 0.02 eV/atom
**Mass density**: 7.252 g/cm³

Geometry as CIF:
```
data_La6Tb5Tm
_cell_length_a 6.2323
_cell_length_b 7.3993
_cell_length_c 9.6649
_cell_angle_alpha 112.49
_cell_angle_beta 92.04
_cell_angle_gamma 90.04
_symmetry_space_group_name_H-M 'P -1'
_symmetry_Int_Tables_number 2
_symmetry_space_group_name_Hall '-P 1'
loop_
_atom_site_label
_atom_site_fract_x
_atom_site_fract_y
_atom_site_fract_z
La1 0.0001 0.2493 0.0000
La2 0.3343 0.0835 0.6676
La3 0.3343 0.5840 0.6675
Tb1 0.1657 0.6668 0.3335
Tb2 0.1666 0.1665 0.3331
Tb3 0.5000 0.5000 0.0000
Tm1 0.5000 0.0000 0.0000
```



(6)
The following is a PBE calculation of La4Tb5Tm2 after structural relaxation, from the Alexandria database.

**Energy relative to the lowest polymorph listed for this composition**: 0 kJ/mol of formula units
**Energy relative to the elements**: 0.02 eV/atom
**Mass density**: 7.619 g/cm³

Geometry as CIF:
```
data_La4Tb5Tm2
_cell_length_a 23.7549
_cell_length_b 3.6245
_cell_length_c 8.8323
_cell_angle_alpha 90.00
_cell_angle_beta 104.61
_cell_angle_gamma 90.00
_symmetry_space_group_name_H-M 'C 1 2/m 1'
_symmetry_Int_Tables_number 12
_symmetry_space_group_name_Hall '-C 2y'
loop_
_atom_site_label
_atom_site_fract_x
_atom_site_fract_y
_atom_site_fract_z
La1 0.0447 0.0000 0.3608
La2 0.1817 0.5000 0.4534
Tb1 0.0000 0.5000 0.0000
Tb2 0.1363 0.0000 0.0850
Tb3 0.2271 0.0000 0.8240
Tm1 0.0922 0.5000 0.7321
```